# 1
# Pm2Nd8In (PBE, relaxed)
data_Pm2Nd8In
_cell_length_a 5.6324
_cell_length_b 7.7750
_cell_length_c 17.5922
_cell_angle_alpha 90.00
_cell_angle_beta 90.00
_cell_angle_gamma 90.00
_space_group_name_H-M_alt 'I m m m'
_space_group_IT_number 71
_space_group_name_Hall '-I 2 2'
loop_
_atom_site_label
_atom_site_fract_x
_atom_site_fract_y
_atom_site_fract_z
_atom_site_occupancy
Pm1 0.0000 0.0000 0.1930 1
Nd1 0.0000 0.2421 0.0000 1
Nd2 0.0000 0.2745 0.3641 1
Nd3 0.0000 0.5000 0.1761 1
In1 0.0000 0.0000 0.5000 1
# - Total DFT energy (no corrections): -4.58 eV per atom
# - Formation energy from the elements: 0.04 eV/f.u.

# 2
# Pm2NdIn (PBE, relaxed)
data_Pm2NdIn
_cell_length_a 3.5492
_cell_length_b 3.5492
_cell_length_c 36.2957
_cell_angle_alpha 90.00
_cell_angle_beta 90.00
_cell_angle_gamma 120.00
_space_group_name_H-M_alt 'R -3 m'
_space_group_IT_number 166
_space_group_name_Hall '-R 3 2"'
loop_
_atom_site_label
_atom_site_fract_x
_atom_site_fract_y
_atom_site_fract_z
_atom_site_occupancy
Pm1 0.0000 0.0000 0.0955 1
Nd1 0.0000 0.0000 0.0000 1
In1 0.0000 0.0000 0.5000 1
# - Total DFT energy (no corrections): -4.21 eV per atom
# - Formation energy from the elements: 0.17 eV/f.u.

| no. | offset from the most stable computed form (kJ/mol of formula units) |
| --- | --- |
| 1 | 74.1 |
| 2 | 121.9 |